1.
Below is a relaxed structure of Cr2AgS4, with properties calculated at the GGA-PBEsol level.

Geometry as POSCAR:
```
Cr2AgS4
1.0
3.4177 0.0000 0.0000
0.0000 5.8440 -0.0585
0.0000 -0.2650 6.1358
Cr S Ag
2 4 1
Direct
0.5000 0.5000 0.0000
0.0000 0.0000 0.0000
0.0000 0.6722 0.2113
0.5000 0.1793 0.2152
0.5000 0.8207 0.7848
0.0000 0.3278 0.7887
0.0000 0.0000 0.5000
```

N(E_F): 0.662 states/eV/atom
Space-group type: No. 10
Magnetization: 5.0 μB/f.u.
Formation energy without anion corrections: -11.53 kcal/mol of atoms

2.
Below is a relaxed structure of BPSeCl2, with properties calculated at the GGA-PBEsol level.

Geometry as POSCAR:
```
BPSeCl2
1.0
-0.3331 -3.9666 0.7282
1.0016 -0.7892 -3.8404
4.6611 -0.1621 1.2490
P B Se Cl
1 1 1 2
Direct
0.0000 0.0000 0.5000
0.0000 0.0000 0.0000
0.5000 0.5000 0.5000
0.0000 0.5000 0.0000
0.5000 0.0000 0.0000
```

N(E_F): 0.600 states/eV/atom
Space-group type: No. 123
Magnetization: 0.0 μB/f.u.
Formation energy without anion corrections: 13.17 kcal/mol of atoms

3.
Below is a relaxed structure of TaAs2HBr, with properties calculated at the GGA-PBEsol level.

Geometry as POSCAR:
```
TaAs2HBr
1.0
3.9482 0.0000 0.0000
0.0000 3.9482 0.0000
0.0000 0.0000 4.9135
H As Br Ta
1 2 1 1
Direct
0.0000 0.0000 0.0000
0.0000 0.5000 0.0000
0.5000 0.0000 0.0000
0.0000 0.0000 0.5000
0.5000 0.5000 0.5000
```

N(E_F): 0.753 states/eV/atom
Final energy: -4.941 eV/atom
Space-group type: No. 123
Magnetization: 0.0 μB/f.u.

4.
Below is a relaxed structure of Tl2CuSb2, with properties calculated at the GGA-PBEsol level.

Geometry as POSCAR:
```
Tl2CuSb2
1.0
-0.1141 0.1561 -5.8128
-4.0733 -5.3878 -0.0647
-5.3865 4.0697 0.2150
Sb Tl Cu
4 4 2
Direct
0.0000 0.3491 0.8491
0.0000 0.8491 0.6509
0.0000 0.6509 0.1509
0.0000 0.1509 0.3491
0.5000 0.1758 0.6758
0.5000 0.6758 0.8242
0.5000 0.8242 0.3242
0.5000 0.3242 0.1758
0.0000 0.0000 0.0000
0.0000 0.5000 0.5000
```

N(E_F): 0.416 states/eV/atom
Space-group type: No. 127
Magnetization: 0.0 μB/f.u.
Formation energy without anion corrections: 2.03 kcal/mol of atoms

5.
Below is a relaxed structure of LiTeCl2, with properties calculated at the GGA-PBEsol level.

Geometry as POSCAR:
```
LiTeCl2
1.0
3.1863 0.0000 0.0000
0.0000 3.1863 0.0000
0.0000 0.0000 7.8409
Cl Te Li
2 1 1
Direct
0.0000 0.0000 0.8059
0.0000 0.0000 0.1941
0.5000 0.5000 0.5000
0.5000 0.5000 0.0000
```

N(E_F): 0.465 states/eV/atom
Space-group type: No. 123
Relative energy among the computed polymorphs: 0.00 eV per formula unit
Magnetization: 0.6 μB/f.u.
Formation energy without anion corrections: -15.51 kcal/mol of atoms

6.
Below is a relaxed structure of Cd2Ga2Sn, with properties calculated at the GGA-PBEsol level.

Geometry as POSCAR:
```
Cd2Ga2Sn
1.0
4.0326 0.0000 0.0000
0.0000 4.0326 0.0000
-2.0163 -2.0163 6.6755
Sn Ga Cd
1 2 2
Direct
0.0000 0.0000 0.0000
0.2500 0.7500 0.5000
0.7500 0.2500 0.5000
0.3960 0.3960 0.7920
0.6040 0.6040 0.2080
```

N(E_F): 0.415 states/eV/atom
Space-group type: No. 139
Relative energy among the computed polymorphs: 0.06 eV per formula unit
Magnetization: 0.0 μB/f.u.